Entry 1:
{"formula": "HfHg3O", "functional": "PBE", "state": "relaxed", "e_form_raw_ev_per_fu": 2.78, "magmom_total_mub_per_atom": 0.0000, "de_polymorph_mev_per_atom": 0.0, "cell": [[4.726, 0.000, 0.000], [0.000, 4.726, 0.000], [0.000, 0.000, 4.726]], "species": ["O", "Hf", "Hg", "Hg", "Hg"], "fractional_positions": [[0.000, 0.000, 0.000], [0.500, 0.500, 0.500], [0.000, 0.500, 0.000], [0.000, 0.000, 0.500], [0.500, 0.000, 0.000]]}

Entry 2:
{"formula": "HfHgO3", "functional": "PBE", "state": "relaxed", "e_form_raw_ev_per_fu": -9.72, "magmom_total_mub_per_atom": 0.0000, "cell": [[4.089, 0.000, 0.000], [0.000, 4.089, 0.000], [0.000, 0.000, 4.089]], "species": ["O", "Hg", "O", "O", "Hf"], "fractional_positions": [[0.000, 0.000, 0.500], [0.500, 0.500, 0.500], [0.500, 0.000, 0.000], [0.000, 0.500, 0.000], [0.000, 0.000, 0.000]]}

Entry 3:
{"formula": "HfHgO3", "functional": "PBE", "state": "relaxed", "e_form_raw_ev_per_fu": 0.09, "magmom_total_mub_per_atom": 0.0009, "cell": [[-0.210, 3.883, -1.463], [-2.663, 0.998, 3.029], [3.182, 1.091, 2.438]], "species": ["O", "Hf", "O", "Hg", "O"], "fractional_positions": [[0.000, 0.500, 0.000], [0.500, 0.500, 0.500], [0.000, 0.000, 0.500], [0.000, 0.000, 0.000], [0.500, 0.000, 0.000]]}

Entry 4:
{"formula": "HfHgPO2", "functional": "PBE", "state": "relaxed", "e_form_raw_ev_per_fu": -7.09, "magmom_total_mub_per_atom": 0.0500, "de_polymorph_mev_per_atom": 0.0, "cell": [[3.996, 0.000, 0.000], [0.000, 3.996, 0.000], [0.000, 0.000, 5.665]], "species": ["Hg", "P", "O", "Hf", "O"], "fractional_positions": [[0.500, 0.500, 0.500], [0.000, 0.000, 0.500], [0.500, 0.000, 0.000], [0.000, 0.000, 0.000], [0.000, 0.500, 0.000]]}

Entry 5:
{"formula": "HfHgP2O8", "functional": "PBE", "state": "relaxed", "e_form_raw_ev_per_fu": -26.04, "magmom_total_mub_per_atom": 0.0000, "cell": [[4.882, 0.000, 0.000], [2.441, 4.228, 0.000], [2.441, 1.409, 7.376]], "species": ["O", "P", "O", "Hg", "O", "Hf", "O", "P", "O", "O", "O", "O"], "fractional_positions": [[0.255, 0.989, 0.171], [0.747, 0.747, 0.758], [0.745, 0.011, 0.829], [0.500, 0.500, 0.500], [0.585, 0.255, 0.171], [0.000, 0.000, 0.000], [0.011, 0.415, 0.829], [0.253, 0.253, 0.242], [0.415, 0.745, 0.829], [0.989, 0.585, 0.171], [0.817, 0.817, 0.548], [0.183, 0.183, 0.452]]}

Entry 6:
{"formula": "HfHgPO6", "functional": "PBE", "state": "relaxed", "e_form_raw_ev_per_fu": -16.06, "magmom_total_mub_per_atom": 0.0813, "cell": [[-2.460, 0.605, -4.643], [-5.260, -0.206, -0.511], [-0.780, 4.761, 1.543]], "species": ["O", "P", "O", "O", "Hf", "O", "Hg", "O", "O"], "fractional_positions": [[0.021, 0.402, 0.297], [0.332, 0.332, 0.500], [0.636, 0.324, 0.695], [0.323, 0.636, 0.305], [0.668, 0.668, 0.500], [0.402, 0.021, 0.703], [0.967, 0.968, 0.000], [0.565, 0.084, 0.307], [0.084, 0.565, 0.693]]}

Entry 7:
{"formula": "HfHgPO2", "functional": "PBE", "state": "relaxed", "e_form_raw_ev_per_fu": 1.20, "magmom_total_mub_per_atom": 0.0000, "de_polymorph_mev_per_atom": 1658.2, "cell": [[4.110, 0.000, 0.000], [0.000, 4.110, 0.000], [0.000, 0.000, 4.998]], "species": ["Hg", "Hf", "O", "O", "P"], "fractional_positions": [[0.000, 0.000, 0.000], [0.500, 0.500, 0.500], [0.000, 0.500, 0.000], [0.500, 0.000, 0.000], [0.000, 0.000, 0.500]]}

Entry 8:
{"formula": "HfHg2PdO", "functional": "PBE", "state": "relaxed", "e_form_raw_ev_per_fu": -2.00, "magmom_total_mub_per_atom": 0.0000, "cell": [[5.679, 0.000, 0.000], [0.000, 3.877, 0.000], [0.000, 0.000, 5.679]], "species": ["O", "Hf", "Hg", "Pd", "Hg"], "fractional_positions": [[0.000, 0.500, 0.000], [0.000, 0.000, 0.000], [0.000, 0.000, 0.500], [0.500, 0.500, 0.500], [0.500, 0.000, 0.000]]}

Entry 9:
{"formula": "RbHf2HgO", "functional": "PBE", "state": "relaxed", "e_form_raw_ev_per_fu": -1.81, "magmom_total_mub_per_atom": 0.0000, "cell": [[-2.082, 3.819, -0.893], [-4.589, -1.909, 2.536], [1.431, 1.680, 3.853]], "species": ["Hf", "O", "Rb", "Hg", "Hf"], "fractional_positions": [[0.500, 0.000, 0.000], [0.000, 0.000, 0.000], [0.000, 0.500, 0.000], [0.500, 0.500, 0.500], [0.000, 0.000, 0.500]]}

Entry 10:
{"formula": "Rb2Hf3HgO8", "functional": "PBE", "state": "relaxed", "e_form_raw_ev_per_fu": -36.38, "magmom_total_mub_per_atom": 0.0000, "cell": [[-1.343, -6.379, -0.724], [0.493, -2.805, -5.908], [6.285, -4.589, -0.937]], "species": ["O", "O", "O", "Hg", "O", "O", "Hf", "Rb", "Hf", "O", "Hf", "Rb", "O", "O"], "fractional_positions": [[0.228, 0.679, 0.865], [0.228, 0.228, 0.865], [0.679, 0.228, 0.865], [0.934, 0.934, 0.197], [0.712, 0.712, 0.865], [0.276, 0.276, 0.172], [0.002, 0.495, 0.009], [0.133, 0.133, 0.602], [0.495, 0.495, 0.009], [0.749, 0.749, 0.182], [0.495, 0.002, 0.009], [0.494, 0.494, 0.517], [0.320, 0.749, 0.182], [0.749, 0.320, 0.182]]}

Entry 11:
{"formula": "Rb2HfHgO", "functional": "PBE", "state": "relaxed", "e_form_raw_ev_per_fu": -2.42, "magmom_total_mub_per_atom": 0.0000, "cell": [[-6.883, -2.041, -2.244], [1.014, -3.809, 0.355], [-2.343, 0.044, 7.147]], "species": ["O", "Rb", "Hg", "Hf", "Rb"], "fractional_positions": [[0.000, 0.500, 0.000], [0.000, 0.000, 0.500], [0.500, 0.500, 0.500], [0.000, 0.000, 0.000], [0.500, 0.000, 0.000]]}

Entry 12:
{"formula": "HfReHgO6", "functional": "PBE", "state": "relaxed", "e_form_raw_ev_per_fu": -16.52, "magmom_total_mub_per_atom": 0.0000, "cell": [[-0.021, -1.300, 5.215], [-4.460, -1.970, 2.260], [1.497, -4.739, -1.176]], "species": ["Hf", "Hg", "Re", "O", "O", "O", "O", "O", "O"], "fractional_positions": [[0.667, 0.667, 0.500], [0.000, 0.000, 0.000], [0.333, 0.333, 0.500], [0.607, 0.022, 0.285], [0.022, 0.372, 0.285], [0.372, 0.022, 0.715], [0.372, 0.607, 0.285], [0.607, 0.372, 0.715], [0.022, 0.607, 0.715]]}

Entry 13:
{"formula": "Hf2HgRhO", "functional": "PBE", "state": "relaxed", "e_form_raw_ev_per_fu": 7.96, "magmom_total_mub_per_atom": 0.0008, "cell": [[-3.943, -0.906, -3.239], [-2.629, -1.722, 3.682], [-1.841, 4.758, 0.911]], "species": ["Hf", "O", "Hf", "Hg", "Rh"], "fractional_positions": [[0.000, 0.000, 0.500], [0.500, 0.500, 0.500], [0.500, 0.000, 0.000], [0.000, 0.000, 0.000], [0.000, 0.500, 0.000]]}

Entry 14:
{"formula": "HfHgRuO2", "functional": "PBE", "state": "relaxed", "e_form_raw_ev_per_fu": 3.58, "magmom_total_mub_per_atom": 0.0000, "cell": [[4.045, 0.000, 0.000], [0.000, 5.260, 0.000], [0.000, 0.000, 4.045]], "species": ["Ru", "O", "O", "Hf", "Hg"], "fractional_positions": [[0.000, 0.500, 0.000], [0.000, 0.000, 0.500], [0.500, 0.000, 0.000], [0.500, 0.500, 0.500], [0.000, 0.000, 0.000]]}

Entry 15:
{"formula": "HfHgSO2", "functional": "PBE", "state": "relaxed", "e_form_raw_ev_per_fu": 2.02, "magmom_total_mub_per_atom": 0.0000, "cell": [[3.985, 0.000, 0.000], [0.000, 5.023, 0.000], [0.000, 0.000, 3.985]], "species": ["S", "O", "Hg", "O", "Hf"], "fractional_positions": [[0.000, 0.000, 0.000], [0.500, 0.000, 0.000], [0.000, 0.500, 0.000], [0.000, 0.000, 0.500], [0.500, 0.500, 0.500]]}

Entry 16:
{"formula": "HfHgSbO2", "functional": "PBE", "state": "relaxed", "e_form_raw_ev_per_fu": 1.91, "magmom_total_mub_per_atom": 0.0000, "cell": [[4.217, 0.000, 0.000], [0.000, 5.566, 0.000], [0.000, 0.000, 4.217]], "species": ["O", "Hg", "Hf", "Sb", "O"], "fractional_positions": [[0.500, 0.000, 0.000], [0.000, 0.000, 0.000], [0.500, 0.500, 0.500], [0.000, 0.500, 0.000], [0.000, 0.000, 0.500]]}

Entry 17:
{"formula": "HfSc2HgO", "functional": "PBE", "state": "relaxed", "e_form_raw_ev_per_fu": -6.48, "magmom_total_mub_per_atom": 0.0000, "cell": [[4.439, 0.000, 0.000], [0.000, 4.439, 0.000], [0.000, 0.000, 4.411]], "species": ["Sc", "Hg", "Hf", "O", "Sc"], "fractional_positions": [[0.500, 0.000, 0.000], [0.500, 0.500, 0.500], [0.000, 0.000, 0.500], [0.000, 0.000, 0.000], [0.000, 0.500, 0.000]]}

Entry 18:
{"formula": "HfHg2TeO6", "functional": "PBE", "state": "relaxed", "e_form_raw_ev_per_fu": -13.70, "magmom_total_mub_per_atom": 0.0000, "cell": [[5.743, 0.000, 0.000], [2.872, 4.974, 0.000], [2.872, 1.658, 4.891]], "species": ["Hf", "O", "O", "O", "O", "Te", "Hg", "O", "O", "Hg"], "fractional_positions": [[0.816, 0.816, 0.551], [0.169, 0.952, 0.303], [0.057, 0.463, 0.799], [0.463, 0.680, 0.800], [0.680, 0.057, 0.799], [0.316, 0.316, 0.051], [0.064, 0.064, 0.809], [0.575, 0.169, 0.303], [0.952, 0.576, 0.303], [0.568, 0.568, 0.295]]}

Entry 19:
{"formula": "HfHgTeO5", "functional": "PBE", "state": "relaxed", "e_form_raw_ev_per_fu": -13.40, "magmom_total_mub_per_atom": 0.0000, "cell": [[6.013, 0.443, -0.172], [-1.332, 5.880, -0.172], [-2.153, -2.908, 7.318]], "species": ["Te", "O", "O", "Hf", "O", "O", "Hg", "O", "Hg", "Hf", "O", "O", "O", "O", "Te", "O"], "fractional_positions": [[0.686, 0.314, 0.250], [0.805, 0.271, 0.018], [0.195, 0.729, 0.982], [0.000, 0.000, 0.500], [0.729, 0.195, 0.482], [0.271, 0.805, 0.518], [0.699, 0.301, 0.750], [0.732, 0.657, 0.357], [0.301, 0.699, 0.250], [0.000, 0.000, 0.000], [0.987, 0.013, 0.250], [0.268, 0.343, 0.643], [0.013, 0.987, 0.750], [0.657, 0.732, 0.857], [0.314, 0.686, 0.750], [0.343, 0.268, 0.143]]}

Entry 20:
{"formula": "HfHgTe2O8", "functional": "PBE", "state": "relaxed", "e_form_raw_ev_per_fu": -15.58, "magmom_total_mub_per_atom": 0.0000, "cell": [[6.013, 0.000, 0.000], [3.006, 4.555, -1.015], [3.006, 0.157, 7.221]], "species": ["O", "Hf", "O", "O", "Te", "Te", "O", "O", "O", "O", "Hg", "O"], "fractional_positions": [[0.113, 0.245, 0.529], [0.000, 0.000, 0.000], [0.147, 0.613, 0.093], [0.572, 0.154, 0.193], [0.832, 0.615, 0.721], [0.168, 0.385, 0.279], [0.853, 0.387, 0.907], [0.887, 0.755, 0.471], [0.919, 0.846, 0.807], [0.081, 0.154, 0.193], [0.500, 0.500, 0.500], [0.428, 0.846, 0.807]]}